Record 1
# Ce4SbAsP2 PBE-GGA optimized geometry
# * D(E_F): 19.9 states/eV per cell
# * energy: -6.750 eV/atom
# * formation energy without anion corrections: -1.334 eV per atom
data_Ce4SbAsP2
_symmetry_space_group_name_H-M 'P 1 2/m 1'
_symmetry_Int_Tables_number 10
_symmetry_space_group_name_Hall '-P 2y'
_cell_length_a 7.298
_cell_length_b 4.204
_cell_length_c 7.352
_cell_angle_alpha 90.00
_cell_angle_beta 109.26
_cell_angle_gamma 90.00
loop_
_atom_site_label
_atom_site_type_symbol
_atom_site_fract_x
_atom_site_fract_y
_atom_site_fract_z
Ce1 Ce 0.235 0.000 0.229
Ce2 Ce 0.247 0.500 0.765
Sb1 Sb 0.500 0.500 0.500
As1 As 0.000 0.000 0.500
P1 P 0.000 0.500 0.000
P2 P 0.500 0.000 0.000

Record 2
# Ce8AsP3Se4 PBE-GGA optimized geometry
# * D(E_F): 130.1 states/eV per cell
# * energy: -6.823 eV/atom
# * formation energy without anion corrections: -1.680 eV per atom
data_Ce8AsP3Se4
_symmetry_space_group_name_H-M 'R -3 m'
_symmetry_Int_Tables_number 166
_symmetry_space_group_name_Hall '-R 3 2"'
_cell_length_a 8.3201
_cell_length_b 8.3201
_cell_length_c 20.5221
_cell_angle_alpha 90.00
_cell_angle_beta 90.00
_cell_angle_gamma 120.00
loop_
_atom_site_label
_atom_site_type_symbol
_atom_site_fract_x
_atom_site_fract_y
_atom_site_fract_z
Ce1 Ce 0.0000 0.0000 0.2447
Ce2 Ce 0.0053 0.5026 0.7540
As1 As 0.0000 0.0000 0.5000
P1 P 0.0000 0.5000 0.5000
Se1 Se 0.0000 0.0000 0.0000
Se2 Se 0.0000 0.5000 0.0000

Record 3
# Ce6As2P3Se PBE-GGA optimized geometry
# * D(E_F): 57.9 states/eV per cell
# * energy: -6.926 eV/atom
# * formation energy without anion corrections: -1.542 eV per atom
data_Ce6As2P3Se
_symmetry_space_group_name_H-M 'C 1 2/m 1'
_symmetry_Int_Tables_number 12
_symmetry_space_group_name_Hall '-C 2y'
_cell_length_a 18.126
_cell_length_b 4.148
_cell_length_c 8.319
_cell_angle_alpha 90.00
_cell_angle_beta 103.54
_cell_angle_gamma 90.00
loop_
_atom_site_label
_atom_site_type_symbol
_atom_site_fract_x
_atom_site_fract_y
_atom_site_fract_z
Ce1 Ce 0.002 0.000 0.241
Ce2 Ce 0.165 0.500 0.088
Ce3 Ce 0.170 0.500 0.579
As1 As 0.166 0.000 0.833
P1 P 0.000 0.500 0.000
P2 P 0.166 0.000 0.333
Se1 Se 0.000 0.500 0.500

Record 4
# Ce4AsP2Se PBE-GGA optimized geometry
# * D(E_F): 20.5 states/eV per cell
# * energy: -6.919 eV/atom
# * formation energy without anion corrections: -1.583 eV per atom
data_Ce4AsP2Se
_symmetry_space_group_name_H-M 'P 1 2/m 1'
_symmetry_Int_Tables_number 10
_symmetry_space_group_name_Hall '-P 2y'
_cell_length_a 7.181
_cell_length_b 4.148
_cell_length_c 7.220
_cell_angle_alpha 90.00
_cell_angle_beta 109.37
_cell_angle_gamma 90.00
loop_
_atom_site_label
_atom_site_type_symbol
_atom_site_fract_x
_atom_site_fract_y
_atom_site_fract_z
Ce1 Ce 0.244 0.000 0.237
Ce2 Ce 0.252 0.500 0.761
As1 As 0.000 0.000 0.500
P1 P 0.000 0.500 0.000
P2 P 0.500 0.000 0.000
Se1 Se 0.500 0.500 0.500

Record 5
# Ce4As2PSe PBE-GGA optimized geometry
# * D(E_F): 21.5 states/eV per cell
# * energy: -6.797 eV/atom
# * formation energy without anion corrections: -1.555 eV per atom
data_Ce4As2PSe
_symmetry_space_group_name_H-M 'P 1 2/m 1'
_symmetry_Int_Tables_number 10
_symmetry_space_group_name_Hall '-P 2y'
_cell_length_a 7.242
_cell_length_b 4.187
_cell_length_c 7.261
_cell_angle_alpha 90.00
_cell_angle_beta 109.47
_cell_angle_gamma 90.00
loop_
_atom_site_label
_atom_site_type_symbol
_atom_site_fract_x
_atom_site_fract_y
_atom_site_fract_z
Ce1 Ce 0.245 0.000 0.242
Ce2 Ce 0.250 0.500 0.756
As1 As 0.500 0.000 0.000
As2 As 0.500 0.500 0.500
P1 P 0.000 0.500 0.000
Se1 Se 0.000 0.000 0.500

Record 6
# Ce8As4PSe3 PBE-GGA optimized geometry
# * D(E_F): 130.6 states/eV per cell
# * energy: -6.721 eV/atom
# * formation energy without anion corrections: -1.600 eV per atom
data_Ce8As4PSe3
_symmetry_space_group_name_H-M 'R -3 m'
_symmetry_Int_Tables_number 166
_symmetry_space_group_name_Hall '-R 3 2"'
_cell_length_a 8.4144
_cell_length_b 8.4144
_cell_length_c 20.5601
_cell_angle_alpha 90.00
_cell_angle_beta 90.00
_cell_angle_gamma 120.00
loop_
_atom_site_label
_atom_site_type_symbol
_atom_site_fract_x
_atom_site_fract_y
_atom_site_fract_z
Ce1 Ce 0.0000 0.0000 0.2483
Ce2 Ce 0.0066 0.5033 0.7499
As1 As 0.0000 0.0000 0.5000
As2 As 0.0000 0.5000 0.5000
P1 P 0.0000 0.0000 0.0000
Se1 Se 0.0000 0.5000 0.0000

Record 7
# Ce6AsP2Se3 PBE-GGA optimized geometry
# * D(E_F): 67.0 states/eV per cell
# * energy: -6.804 eV/atom
# * formation energy without anion corrections: -1.677 eV per atom
data_Ce6AsP2Se3
_symmetry_space_group_name_H-M 'C 1 2/m 1'
_symmetry_Int_Tables_number 12
_symmetry_space_group_name_Hall '-C 2y'
_cell_length_a 18.213
_cell_length_b 4.165
_cell_length_c 8.370
_cell_angle_alpha 90.00
_cell_angle_beta 103.52
_cell_angle_gamma 90.00
loop_
_atom_site_label
_atom_site_type_symbol
_atom_site_fract_x
_atom_site_fract_y
_atom_site_fract_z
Ce1 Ce 0.004 0.000 0.250
Ce2 Ce 0.166 0.500 0.094
Ce3 Ce 0.170 0.500 0.575
As1 As 0.000 0.500 0.000
P1 P 0.167 0.000 0.334
Se1 Se 0.000 0.500 0.500
Se2 Se 0.165 0.000 0.833

Record 8
# Ce6As2PSe3 PBE-GGA optimized geometry
# * D(E_F): 70.2 states/eV per cell
# * energy: -6.723 eV/atom
# * formation energy without anion corrections: -1.659 eV per atom
data_Ce6As2PSe3
_symmetry_space_group_name_H-M 'C 1 2/m 1'
_symmetry_Int_Tables_number 12
_symmetry_space_group_name_Hall '-C 2y'
_cell_length_a 18.288
_cell_length_b 4.192
_cell_length_c 8.400
_cell_angle_alpha 90.00
_cell_angle_beta 103.29
_cell_angle_gamma 90.00
loop_
_atom_site_label
_atom_site_type_symbol
_atom_site_fract_x
_atom_site_fract_y
_atom_site_fract_z
Ce1 Ce 0.000 0.000 0.239
Ce2 Ce 0.162 0.500 0.084
Ce3 Ce 0.168 0.500 0.581
As1 As 0.166 0.000 0.333
P1 P 0.000 0.500 0.000
Se1 Se 0.000 0.500 0.500
Se2 Se 0.168 0.000 0.834

Record 9
# TbCeAsP PBE-GGA optimized geometry
# * D(E_F): 14.9 states/eV per cell
# * energy: -6.676 eV/atom
# * formation enthalpy at 0 K: -1.5201 eV/atom
data_TbCeAsP
_symmetry_space_group_name_H-M 'R 3 m'
_symmetry_Int_Tables_number 160
_symmetry_space_group_name_Hall 'R 3 -2"'
_cell_length_a 4.1161
_cell_length_b 4.1161
_cell_length_c 20.1587
_cell_angle_alpha 90.00
_cell_angle_beta 90.00
_cell_angle_gamma 120.00
loop_
_atom_site_label
_atom_site_type_symbol
_atom_site_fract_x
_atom_site_fract_y
_atom_site_fract_z
Tb1 Tb 0.0000 0.0000 0.0000
Ce1 Ce 0.0000 0.0000 0.4949
As1 As 0.0000 0.0000 0.2482
P1 P 0.0000 0.0000 0.7467

Record 10
# Ce4TeAsP2 PBE-GGA optimized geometry
# * D(E_F): 20.6 states/eV per cell
# * energy: -6.741 eV/atom
# * formation energy without anion corrections: -1.448 eV per atom
data_Ce4TeAsP2
_symmetry_space_group_name_H-M 'P 1 2/m 1'
_symmetry_Int_Tables_number 10
_symmetry_space_group_name_Hall '-P 2y'
_cell_length_a 7.296
_cell_length_b 4.198
_cell_length_c 7.371
_cell_angle_alpha 90.00
_cell_angle_beta 109.16
_cell_angle_gamma 90.00
loop_
_atom_site_label
_atom_site_type_symbol
_atom_site_fract_x
_atom_site_fract_y
_atom_site_fract_z
Ce1 Ce 0.232 0.000 0.226
Ce2 Ce 0.246 0.500 0.766
Te1 Te 0.500 0.500 0.500
As1 As 0.000 0.000 0.500
P1 P 0.000 0.500 0.000
P2 P 0.500 0.000 0.000

Record 11
# Ce4TeAs2P PBE-GGA optimized geometry
# * D(E_F): 22.0 states/eV per cell
# * energy: -6.612 eV/atom
# * formation energy without anion corrections: -1.414 eV per atom
data_Ce4TeAs2P
_symmetry_space_group_name_H-M 'P 1 2/m 1'
_symmetry_Int_Tables_number 10
_symmetry_space_group_name_Hall '-P 2y'
_cell_length_a 7.360
_cell_length_b 4.249
_cell_length_c 7.416
_cell_angle_alpha 90.00
_cell_angle_beta 109.35
_cell_angle_gamma 90.00
loop_
_atom_site_label
_atom_site_type_symbol
_atom_site_fract_x
_atom_site_fract_y
_atom_site_fract_z
Ce1 Ce 0.239 0.000 0.232
Ce2 Ce 0.249 0.500 0.763
Te1 Te 0.500 0.500 0.500
As1 As 0.000 0.000 0.500
As2 As 0.000 0.500 0.000
P1 P 0.500 0.000 0.000